# 1
First-principles (GGA-PBE) data for an optimized crystal structure of CaMoPb, as listed in Alexandria.

Computed properties:
Offset from the most stable computed form   0.149 eV per atom
Calculated formation energy   0.627 eV per atom

a = 3.352 Å, b = 3.352 Å, c = 7.431 Å
α = 90.00°, β = 90.00°, γ = 120.00°
Sites, in units of the cell vectors:
Ca 0.000 0.000 0.000
Mo 0.667 0.333 0.324
Pb 0.333 0.667 0.619


# 2
First-principles (GGA-PBE) data for an optimized crystal structure of ZnWI2N, as listed in Alexandria.

Computed properties:
Offset from the most stable computed form   0.000 eV per atom
Uncorrected formation energy   192 kJ/mol of formula units

a = 5.667 Å, b = 5.667 Å, c = 3.853 Å
α = 90.00°, β = 90.00°, γ = 90.00°
Sites, in units of the cell vectors:
Zn 0.000 0.000 0.000
W 0.500 0.500 0.500
I 0.000 0.500 0.500
I 0.500 0.000 0.500
N 0.500 0.500 0.000


# 3
First-principles (GGA-PBE) data for an optimized crystal structure of Cs3Pa2Te4, as listed in Alexandria.

Computed properties:
Uncorrected formation energy   -644 kJ/mol of formula units

a = 9.889 Å, b = 9.889 Å, c = 11.420 Å
α = 120.79°, β = 120.79°, γ = 25.13°
Sites, in units of the cell vectors:
Cs 0.000 0.000 0.000
Cs 0.378 0.378 0.265
Cs 0.622 0.622 0.735
Pa 0.280 0.280 0.595
Pa 0.720 0.720 0.405
Te 0.093 0.093 0.403
Te 0.314 0.314 0.876
Te 0.686 0.686 0.124
Te 0.907 0.907 0.597


# 4
First-principles (GGA-PBE) data for an optimized crystal structure of BaBeRh2, as listed in Alexandria.

Computed properties:
Calculated formation energy   0.119 eV per atom

a = 3.099 Å, b = 3.099 Å, c = 7.340 Å
α = 90.00°, β = 90.00°, γ = 92.12°
Sites, in units of the cell vectors:
Ba 0.000 0.000 0.000
Be 0.000 0.000 0.500
Rh 0.500 0.500 0.326
Rh 0.500 0.500 0.674